1.
Compound: Sm4DySe5
Source: Alexandria via LeMat-Bulk
Functional: GGA-PBE
Structure: optimized geometry

extended XYZ file:
```
10
Lattice="-3.2918 0.1216 -2.5191 -0.6480 -4.0437 0.6516 -6.6968 5.1999 12.4152" Properties=species:S:1:pos:R:3 pbc="T T T"
Dy 0.0000 0.0000 0.0000
Se -5.4773 -0.6503 3.7127
Sm -6.9009 2.5789 9.1421
Se -1.9699 -1.9611 -0.9338
Sm -7.2399 0.0084 6.0479
Se -1.6792 0.6275 2.2246
Sm -3.7357 -1.3011 1.4056
Sm -3.3967 1.2694 4.4998
Se -8.9574 0.6503 8.3231
Se -5.1593 1.9281 6.8350
```

Summary:
**Formation energy without anion corrections**: -1.801 eV/atom
**M_tot**: 0.0 μB per cell
**Volume**: 25.4 A^3/atom


2.
Compound: Li2MnRu
Source: Alexandria via LeMat-Bulk
Functional: GGA-PBE
Structure: optimized geometry

extended XYZ file:
```
4
Lattice="2.6879 0.0447 0.0000 -1.1204 2.4437 0.0000 0.0000 0.0000 9.1026" Properties=species:S:1:pos:R:3 pbc="T T T"
Li 0.7838 1.2442 2.4226
Ru 0.7838 1.2442 6.7100
Mn 0.0000 0.0000 4.7218
Li 0.0000 0.0000 8.9021
```

Summary:
**M_tot**: 3.3 μB per cell
**Distance to the lowest polymorph of the same formula**: 44 meV/atom
**Volume**: 15.1 A^3/atom


3.
Compound: LiMgPS2
Source: Alexandria via LeMat-Bulk
Functional: GGA-PBE
Structure: optimized geometry

extended XYZ file:
```
5
Lattice="-4.7187 -0.5596 1.1448 0.8118 -4.7049 1.0462 0.9617 1.1750 4.5380" Properties=species:S:1:pos:R:3 pbc="T T T"
S -2.3593 -0.2798 0.5724
Li -1.4726 -2.0447 3.3645
Mg 0.0000 0.0000 0.0000
S 0.4059 -2.3525 0.5231
P 0.4808 0.5875 2.2690
```

Summary:
**Formation energy without anion corrections**: 0.155 eV/atom
**M_tot**: 0.0 μB per cell
**Distance to the lowest polymorph of the same formula**: 0 meV/atom
**Volume**: 22.9 A^3/atom


4.
Compound: Ca2AlZn6Pd
Source: Alexandria via LeMat-Bulk
Functional: GGA-PBE
Structure: optimized geometry

extended XYZ file:
```
10
Lattice="-0.0403 -3.1971 -3.9633 -6.2261 -5.0435 4.1330 -6.3751 -1.7376 -1.8049" Properties=species:S:1:pos:R:3 pbc="T T T"
Pd 0.0000 0.0000 0.0000
Zn -11.0286 -6.3319 0.3241
Zn -1.5918 -2.0381 0.0324
Al -3.1332 -4.1203 0.0849
Zn -8.9103 -7.8978 -0.0787
Ca -5.0729 -4.6719 -2.7236
Ca -7.5686 -5.3063 1.0885
Zn -1.6129 -3.6463 -1.9593
Zn -3.7312 -2.0804 -1.5564
Zn -11.0496 -7.9401 -1.6676
```

Summary:
**M_tot**: 0.0 μB per cell
**Volume**: 20.4 A^3/atom
**Energy**: -22.917 eV per formula unit


5.
Compound: CdInAg4
Source: Alexandria via LeMat-Bulk
Functional: GGA-PBE
Structure: optimized geometry

extended XYZ file:
```
12
Lattice="-3.5302 4.2254 -0.7465 -1.8814 -0.6555 5.1869 6.0966 5.6095 2.9200" Properties=species:S:1:pos:R:3 pbc="T T T"
Ag 1.4504 7.2092 2.9278
Ag -1.5897 4.4109 1.4652
Ag 2.2747 4.7685 5.8952
In 1.2832 4.9174 1.0867
Ag -0.7654 1.9702 4.4326
Ag 3.2153 5.0965 3.3017
Ag -2.5302 4.0829 4.0587
Cd -2.7058 1.7850 2.2202
In 2.1076 2.4770 4.0534
Cd 0.0000 0.0000 0.0000
Ag 0.5099 6.8813 5.5213
Ag 0.1751 2.2981 1.8391
```

Summary:
**M_tot**: 0.0 μB per cell
**Distance to the lowest polymorph of the same formula**: 93 meV/atom
**Volume**: 22.6 A^3/atom


6.
Compound: Cu6As4Pb
Source: Alexandria via LeMat-Bulk
Functional: GGA-PBE
Structure: optimized geometry

extended XYZ file:
```
11
Lattice="-0.7183 0.3755 -4.1289 3.0612 -2.7780 -0.7852 -8.2926 -6.7906 2.9691" Properties=species:S:1:pos:R:3 pbc="T T T"
As -6.2499 -7.0141 0.4494
Cu -2.0949 -1.7602 -1.9396
Cu -3.9197 -3.8082 -1.8084
Pb 0.0000 0.0000 0.0000
As 0.3003 -2.1790 -2.3944
As -3.2856 -6.2032 -2.1365
Cu -2.0300 -5.3849 -0.1366
Cu -0.2052 -3.3370 -0.2678
Cu -3.8548 -7.4328 -0.0053
Cu -5.7445 -5.8561 -1.6772
As -2.6641 -2.9898 0.1916
```

Summary:
**M_tot**: 0.0 μB per cell
**Volume**: 17.2 A^3/atom
**Energy**: -46.388 eV per formula unit


7.
Compound: HfTiMnPt2
Source: Alexandria via LeMat-Bulk
Functional: GGA-PBE
Structure: optimized geometry

extended XYZ file:
```
5
Lattice="-0.8026 -2.6594 -3.7372 4.1060 0.9231 -1.5386 1.6830 -3.7001 2.2715" Properties=species:S:1:pos:R:3 pbc="T T T"
Mn 0.0000 0.0000 0.0000
Hf 2.0530 0.4615 -0.7693
Pt -0.4013 -1.3297 -1.8686
Ti 2.4932 -2.7182 -1.5022
Pt 0.8415 -1.8500 1.1358
```

Summary:
**M_tot**: 2.3 μB per cell
**Volume**: 19.4 A^3/atom
**Energy**: -36.679 eV per formula unit


8.
Compound: CsCeSe2Cl
Source: Alexandria via LeMat-Bulk
Functional: GGA-PBE
Structure: optimized geometry

extended XYZ file:
```
10
Lattice="4.3188 0.0000 0.0000 0.0000 9.5782 0.9706 0.0000 -3.2116 8.9154" Properties=species:S:1:pos:R:3 pbc="T T T"
Se 1.0797 0.0974 3.2564
Se 3.2391 8.0071 1.1695
Cs 3.2391 0.4157 6.3542
Cs 1.0797 5.9509 3.5318
Se 3.2391 6.2692 6.6296
Cl 3.2391 3.4466 2.5727
Cl 1.0797 2.9200 7.3132
Ce 3.2391 0.9569 1.6572
Se 1.0797 -1.6405 8.7165
Ce 1.0797 5.4097 8.2288
```

Summary:
**Formation energy without anion corrections**: -1.723 eV/atom
**M_tot**: 0.0 μB per cell
**Volume**: 38.2 A^3/atom


> Which formula does entry 1 have?

Sm4DySe5


> Number 2 is which compound?

Li2MnRu


> Which formula does entry 1 have?

Sm4DySe5